[1]
# AlCrAu2 | the Alexandria database | PBE | relaxed
# **SG**: No. 6
data_AlCrAu2
_chemical_formula_sum 'Al1 Cr1 Au2'
_cell_length_a 3.032
_cell_length_b 4.187
_cell_length_c 5.537
_cell_angle_alpha 90.00
_cell_angle_beta 105.30
_cell_angle_gamma 90.00
_space_group_name_H-M_alt 'P 1'
_space_group_IT_number 1
loop_
_space_group_symop_operation_xyz
'x,y,z'
loop_
_atom_site_label
_atom_site_type_symbol
_atom_site_fract_x
_atom_site_fract_y
_atom_site_fract_z
Al1 Al 0.000 0.000 0.000
Cr1 Cr 0.402 0.500 0.792
Au1 Au 0.136 0.500 0.260
Au2 Au 0.766 0.000 0.523

[2]
# Al2CrAu | the Alexandria database | PBE | relaxed
# **SG**: No. 22
data_Al2CrAu
_chemical_formula_sum 'Al2 Cr1 Au1'
_cell_length_a 4.964
_cell_length_b 4.963
_cell_length_c 3.863
_cell_angle_alpha 67.11
_cell_angle_beta 67.08
_cell_angle_gamma 45.81
_space_group_name_H-M_alt 'P 1'
_space_group_IT_number 1
loop_
_space_group_symop_operation_xyz
'x,y,z'
loop_
_atom_site_label
_atom_site_type_symbol
_atom_site_fract_x
_atom_site_fract_y
_atom_site_fract_z
Al1 Al 0.000 0.000 0.000
Al2 Al 0.250 0.250 0.250
Cr1 Cr 0.750 0.750 0.750
Au1 Au 0.500 0.500 0.500

Number 1: magnetization 3.6 μB per formula unit, energy relative to the elements -0.0346 eV per atom. Number 2: magnetization 3.0 μB per formula unit, energy relative to the elements -0.1727 eV per atom.